VASP calculation (PBE) on TcPtPb4 after structural relaxation.

Values from the calculation:
total magnetic moment	3.30	μB/f.u.
formation energy from the elements	1.06	eV/atom

```
data_TcPtPb4
_cell_length_a 8.7366
_cell_length_b 8.7366
_cell_length_c 8.7366
_cell_angle_alpha 90.00
_cell_angle_beta 90.00
_cell_angle_gamma 90.00
_symmetry_space_group_name_H-M 'F -4 3 m'
_symmetry_Int_Tables_number 216
_symmetry_space_group_name_Hall 'F -4 2 3'
loop_
_atom_site_label
_atom_site_type_symbol
_atom_site_fract_x
_atom_site_fract_y
_atom_site_fract_z
Tc1 Tc 0.0000 0.0000 0.0000
Pt1 Pt 0.2500 0.2500 0.2500
Pb1 Pb 0.1250 0.1250 0.6250
```